Record 1
Tb5Er3Cd | GGA-PBE | relaxed

Cell lengths 11.900, 11.347, 9.995 Å; angles 90.00, 108.72, 90.00 degrees
Space group C2/m (No. 12)
Unique sites:
Tb 0.000 0.239 0.000 [4 per cell]
Tb 0.181 0.240 0.778 [8 per cell]
Tb 0.241 0.000 0.056 [4 per cell]
Tb 0.250 0.000 0.411 [4 per cell]
Er 0.000 0.000 0.500 [2 per cell]
Er 0.000 0.500 0.000 [2 per cell]
Er 0.002 0.500 0.672 [4 per cell]
Er 0.003 0.000 0.181 [4 per cell]
Cd 0.233 0.500 0.263 [4 per cell]

Properties
Energy of formation = 409 meV/atom
DOS(E_F) = 52.9 states/eV per cell
Energy = -3.786 eV per atom

***

Record 2
Tb8Er6Cd | GGA-PBE | relaxed

Cell lengths 9.3384, 9.3384, 6.2436 Å; angles 90.00, 90.00, 120.00 degrees
Space group P3 (No. 143)
Unique sites:
Tb 0.0000 0.0000 0.0000 [1 per cell]
Tb 0.0679 0.6259 0.3805 [3 per cell]
Tb 0.1056 0.3977 0.0014 [3 per cell]
Tb 0.6667 0.3333 0.3790 [1 per cell]
Er 0.2392 0.0291 0.5049 [3 per cell]
Er 0.4276 0.3059 0.8759 [3 per cell]
Cd 0.3333 0.6667 0.6950 [1 per cell]

Properties
Energy of formation = 105 meV/atom
DOS(E_F) = 20.7 states/eV per cell
Energy = -4.251 eV per atom

***

Record 3
Tb3Er4Cd4 | GGA-PBE | relaxed

Cell lengths 5.295, 7.009, 16.923 Å; angles 90.00, 90.00, 90.00 degrees
Space group Immm (No. 71)
Unique sites:
Tb 0.000 0.000 0.000 [2 per cell]
Tb 0.000 0.500 0.104 [4 per cell]
Er 0.000 0.263 0.318 [8 per cell]
Cd 0.000 0.000 0.178 [4 per cell]
Cd 0.000 0.207 0.500 [4 per cell]

Properties
Energy of formation = -100 meV/atom
DOS(E_F) = 17.2 states/eV per cell
Energy = -3.355 eV per atom